1.
KLi2CuGe: optimized geometry, PBE-GGA.

The structure in CIF format:
```
data_KLi2CuGe
_symmetry_space_group_name_H-M 'P 4/m m m'
_symmetry_Int_Tables_number 123
_symmetry_space_group_name_Hall '-P 4 2'
_cell_length_a 5.054
_cell_length_b 5.054
_cell_length_c 4.661
_cell_angle_alpha 90.00
_cell_angle_beta 90.00
_cell_angle_gamma 90.00
loop_
_atom_site_label
_atom_site_fract_x
_atom_site_fract_y
_atom_site_fract_z
K1 0.000 0.000 0.000
Li1 0.000 0.500 0.500
Cu1 0.500 0.500 0.000
Ge1 0.500 0.500 0.500
```

Properties
DFT formation energy: -0.0761 eV per atom
magnetization: 0.00 μB per formula unit
energy above the lowest structure with this stoichiometry: 0 meV per atom
density: 2.639 g/cm³

***

2.
SrNd6Sm12: optimized geometry, PBE-GGA.

The structure in CIF format:
```
data_SrNd6Sm12
_symmetry_space_group_name_H-M 'R -3 m'
_symmetry_Int_Tables_number 166
_symmetry_space_group_name_Hall '-R 3 2"'
_cell_length_a 13.6239
_cell_length_b 13.6239
_cell_length_c 12.9279
_cell_angle_alpha 90.00
_cell_angle_beta 90.00
_cell_angle_gamma 120.00
loop_
_atom_site_label
_atom_site_fract_x
_atom_site_fract_y
_atom_site_fract_z
Sr1 0.0000 0.0000 0.0000
Nd1 0.0343 0.5171 0.6178
Sm1 0.0000 0.2609 0.5000
Sm2 0.0922 0.1844 0.2679
```

Properties
DFT formation energy: 0.1987 eV per atom
magnetization: 0.00 μB per formula unit
density: 6.610 g/cm³

***

3.
TiBSe: optimized geometry, PBE-GGA.

The structure in CIF format:
```
data_TiBSe
_symmetry_space_group_name_H-M 'I m m m'
_symmetry_Int_Tables_number 71
_symmetry_space_group_name_Hall '-I 2 2'
_cell_length_a 3.306
_cell_length_b 5.120
_cell_length_c 10.950
_cell_angle_alpha 90.00
_cell_angle_beta 90.00
_cell_angle_gamma 90.00
loop_
_atom_site_label
_atom_site_fract_x
_atom_site_fract_y
_atom_site_fract_z
Ti1 0.000 0.000 0.132
B1 0.000 0.344 0.500
Se1 0.000 0.500 0.175
```

Properties
magnetization: 0.00 μB per formula unit
energy above the lowest structure with this stoichiometry: 741 meV per atom
density: 4.933 g/cm³

***

4.
LiNd2Ga6: optimized geometry, PBE-GGA.

The structure in CIF format:
```
data_LiNd2Ga6
_symmetry_space_group_name_H-M 'I m m m'
_symmetry_Int_Tables_number 71
_symmetry_space_group_name_Hall '-I 2 2'
_cell_length_a 4.454
_cell_length_b 6.923
_cell_length_c 13.623
_cell_angle_alpha 90.00
_cell_angle_beta 90.00
_cell_angle_gamma 90.00
loop_
_atom_site_label
_atom_site_fract_x
_atom_site_fract_y
_atom_site_fract_z
Li1 0.000 0.000 0.000
Nd1 0.000 0.500 0.127
Ga1 0.000 0.200 0.500
Ga2 0.000 0.309 0.318
```

Properties
DFT formation energy: -0.3327 eV per atom
magnetization: 0.00 μB per formula unit
density: 5.643 g/cm³

***

5.
NaLiIn2O4: optimized geometry, PBE-GGA.

The structure in CIF format:
```
data_NaLiIn2O4
_symmetry_space_group_name_H-M 'C m c m'
_symmetry_Int_Tables_number 63
_symmetry_space_group_name_Hall '-C 2c 2'
_cell_length_a 3.286
_cell_length_b 10.781
_cell_length_c 11.207
_cell_angle_alpha 90.00
_cell_angle_beta 90.00
_cell_angle_gamma 90.00
loop_
_atom_site_label
_atom_site_fract_x
_atom_site_fract_y
_atom_site_fract_z
Na1 0.000 0.096 0.250
Li1 0.000 0.171 0.750
In1 0.000 0.366 0.060
O1 0.000 0.000 0.000
O2 0.000 0.263 0.608
O3 0.000 0.427 0.250
```

Properties
magnetization: 0.00 μB per formula unit
electronic total energy: -5.163 eV per atom
density: 5.412 g/cm³

***

6.
Nd2MnAs3Rh4: optimized geometry, PBE-GGA.

The structure in CIF format:
```
data_Nd2MnAs3Rh4
_symmetry_space_group_name_H-M 'P -4 m 2'
_symmetry_Int_Tables_number 115
_symmetry_space_group_name_Hall 'P -4 -2'
_cell_length_a 4.184
_cell_length_b 4.184
_cell_length_c 10.438
_cell_angle_alpha 90.00
_cell_angle_beta 90.00
_cell_angle_gamma 90.00
loop_
_atom_site_label
_atom_site_fract_x
_atom_site_fract_y
_atom_site_fract_z
Nd1 0.000 0.500 0.249
Mn1 0.500 0.500 0.000
As1 0.000 0.000 0.000
As2 0.000 0.500 0.636
Rh1 0.000 0.000 0.500
Rh2 0.000 0.500 0.868
Rh3 0.500 0.500 0.500
```

Properties
DFT formation energy: -0.8296 eV per atom
magnetization: 3.73 μB per formula unit
density: 8.904 g/cm³